# 1
Ba3BiPb2O9 | PBE-GGA | relaxed

## Properties
As for the calculated total energy: -175.59 eV for the cell shown. The value obtained for the total moment is 0.0 μB per cell. The theoretical density comes out at 7.807 g/cm3. As for the uncorrected formation energy: -1.741 eV/atom.

a b c (Å): 6.176 6.180 13.817
angles (deg): 77.38 77.35 89.71
Atoms (fractional coordinates):
Ba (0.079, 0.080, 0.338)
Ba (0.254, 0.254, 0.998)
Ba (0.413, 0.412, 0.666)
Ba (0.587, 0.588, 0.334)
Ba (0.746, 0.746, 0.002)
Ba (0.921, 0.920, 0.662)
Bi (0.166, 0.667, 0.167)
Bi (0.834, 0.333, 0.833)
Pb (0.000, 0.500, 0.500)
Pb (0.334, 0.834, 0.832)
Pb (0.500, 0.000, 0.500)
Pb (0.666, 0.166, 0.168)
O (0.039, 0.043, 0.857)
O (0.049, 0.621, 0.332)
O (0.117, 0.545, 0.834)
O (0.211, 0.788, 0.500)
O (0.285, 0.714, 0.001)
O (0.296, 0.296, 0.479)
O (0.371, 0.375, 0.187)
O (0.378, 0.954, 0.667)
O (0.451, 0.879, 0.166)
O (0.549, 0.121, 0.834)
O (0.622, 0.046, 0.333)
O (0.629, 0.625, 0.813)
O (0.704, 0.704, 0.521)
O (0.715, 0.286, 0.999)
O (0.789, 0.212, 0.500)
O (0.883, 0.455, 0.166)
O (0.951, 0.379, 0.668)
O (0.961, 0.957, 0.143)

---

# 2
Ba8Tl2Bi2Pb4O17 | PBE-GGA | relaxed

## Properties
As for the calculated total energy: -185.01 eV for the cell shown. The value obtained for the total moment is 0.0 μB per cell. The theoretical density comes out at 7.365 g/cm3. As for the uncorrected formation energy: -1.758 eV/atom.

a b c (Å): 6.564 6.660 16.181
angles (deg): 91.61 91.00 105.15
Atoms (fractional coordinates):
Ba (0.000, 0.000, 0.000)
Ba (0.002, 0.020, 0.243)
Ba (0.011, 0.953, 0.746)
Ba (0.489, 0.468, 0.741)
Ba (0.491, 0.452, 0.498)
Ba (0.517, 0.475, 0.995)
Ba (0.550, 0.472, 0.240)
Ba (0.982, 0.953, 0.504)
Tl (0.035, 0.522, 0.104)
Tl (0.491, 0.945, 0.632)
Bi (0.521, 0.987, 0.376)
Bi (0.984, 0.445, 0.856)
Pb (0.061, 0.515, 0.363)
Pb (0.497, 0.966, 0.118)
Pb (0.526, 0.973, 0.870)
Pb (0.977, 0.435, 0.621)
O (0.140, 0.615, 0.497)
O (0.142, 0.607, 0.737)
O (0.220, 0.271, 0.871)
O (0.226, 0.250, 0.616)
O (0.257, 0.287, 0.359)
O (0.299, 0.201, 0.119)
O (0.306, 0.779, 0.210)
O (0.369, 0.842, 0.998)
O (0.603, 0.082, 0.502)
O (0.726, 0.784, 0.366)
O (0.736, 0.757, 0.116)
O (0.737, 0.750, 0.868)
O (0.747, 0.742, 0.622)
O (0.753, 0.256, 0.341)
O (0.754, 0.229, 0.945)
O (0.770, 0.218, 0.151)
O (0.780, 0.238, 0.767)

---

# 3
Ba2BiPd2O6 | PBE-GGA | relaxed

## Properties
As for the calculated total energy: -61.18 eV for the cell shown. The value obtained for the total moment is 1.8 μB per cell. The theoretical density comes out at 6.576 g/cm3. As for the uncorrected formation energy: -1.211 eV/atom.

a b c (Å): 6.810 6.810 6.810
angles (deg): 55.52 55.52 55.52
Atoms (fractional coordinates):
Ba (0.218, 0.218, 0.218)
Ba (0.782, 0.782, 0.782)
Bi (0.000, 0.000, 0.000)
Pd (0.415, 0.415, 0.415)
Pd (0.585, 0.585, 0.585)
O (0.215, 0.762, 0.762)
O (0.238, 0.238, 0.785)
O (0.238, 0.785, 0.238)
O (0.762, 0.215, 0.762)
O (0.762, 0.762, 0.215)
O (0.785, 0.238, 0.238)

---

# 4
Ba2BiPdO5 | PBE-GGA | relaxed

## Properties
As for the calculated total energy: -103.89 eV for the cell shown. The value obtained for the total moment is 0.0 μB per cell. The theoretical density comes out at 6.455 g/cm3. As for the uncorrected formation energy: -1.581 eV/atom.

a b c (Å): 7.278 7.278 12.167
angles (deg): 90.00 90.00 147.66
Atoms (fractional coordinates):
Ba (0.097, 0.903, 0.500)
Ba (0.149, 0.851, 0.187)
Ba (0.851, 0.149, 0.687)
Ba (0.903, 0.097, 0.000)
Bi (0.425, 0.575, 0.263)
Bi (0.575, 0.425, 0.763)
Pd (0.228, 0.772, 0.866)
Pd (0.772, 0.228, 0.366)
O (0.075, 0.925, 0.843)
O (0.284, 0.716, 0.386)
O (0.326, 0.674, 0.132)
O (0.372, 0.628, 0.853)
O (0.472, 0.528, 0.630)
O (0.528, 0.472, 0.130)
O (0.628, 0.372, 0.353)
O (0.674, 0.326, 0.632)
O (0.716, 0.284, 0.886)
O (0.925, 0.075, 0.343)